Entry 1:
DFT (GGA-PBEsol) results for an optimized crystal structure of LiCrAsBr2.

a b c (Å): 4.641 5.186 5.186
angles (deg): 90.00 90.00 90.00
Positions (direct):
Li: 0.500 0.500 0.500
Cr: 0.000 0.000 0.000
As: 0.500 0.000 0.000
Br: 0.000 0.000 0.500
Br: 0.000 0.500 0.000

Calculated values
Space group: P4/mmm, No. 123
Uncorrected formation energy, eV/f.u.: -1.24



Entry 2:
DFT (GGA-PBEsol) results for an optimized crystal structure of MgCrAsBr2.

a b c (Å): 4.893 4.977 4.977
angles (deg): 90.00 90.00 90.00
Positions (direct):
Br: 0.000 0.000 0.500
Br: 0.000 0.500 0.000
Cr: 0.000 0.000 0.000
As: 0.500 0.000 0.000
Mg: 0.500 0.500 0.500

Calculated values
Space group: P4/mmm, No. 123
Uncorrected formation energy, eV/f.u.: -0.30



Entry 3:
DFT (GGA-PBEsol) results for an optimized crystal structure of CrAs2BrN.

a b c (Å): 4.283 4.283 4.498
angles (deg): 90.00 90.00 90.00
Positions (direct):
N: 0.000 0.000 0.000
Cr: 0.500 0.500 0.500
As: 0.500 0.000 0.000
As: 0.000 0.500 0.000
Br: 0.000 0.000 0.500

Calculated values
Space group: P4/mmm, No. 123
Uncorrected formation energy, eV/f.u.: 4.72



Entry 4:
DFT (GGA-PBEsol) results for an optimized crystal structure of CrAs2BrO.

a b c (Å): 4.044 4.044 5.835
angles (deg): 90.00 90.00 90.00
Positions (direct):
As: 0.500 0.000 0.000
As: 0.000 0.500 0.000
Cr: 0.500 0.500 0.500
O: 0.000 0.000 0.000
Br: 0.000 0.000 0.500

Calculated values
Space group: P4/mmm, No. 123
Uncorrected formation energy, eV/f.u.: 1.76



Entry 5:
DFT (GGA-PBEsol) results for an optimized crystal structure of CrReAsBr2.

a b c (Å): 4.685 5.143 5.143
angles (deg): 90.00 90.00 90.00
Positions (direct):
Re: 0.000 0.000 0.000
As: 0.500 0.000 0.000
Br: 0.000 0.500 0.000
Br: 0.000 0.000 0.500
Cr: 0.500 0.500 0.500

Calculated values
Space group: P4/mmm, No. 123
Uncorrected formation energy, eV/f.u.: 4.82



Entry 6:
DFT (GGA-PBEsol) results for an optimized crystal structure of CrAs2SeBr.

a b c (Å): 4.545 4.683 4.683
angles (deg): 90.00 90.00 90.00
Positions (direct):
Se: 0.500 0.000 0.000
As: 0.000 0.000 0.500
As: 0.000 0.500 0.000
Br: 0.500 0.500 0.500
Cr: 0.000 0.000 0.000

Calculated values
Space group: P4/mmm, No. 123
Uncorrected formation energy, eV/f.u.: 1.03



Density of states at the Fermi level, respectively: 0.383 0.272 0.613 0.637 0.813 0.663 states/eV/atom.
Final energy, respectively: -4.458 -4.222 -5.226 -5.163 -5.521 -5.030 eV per atom.